(1)
CeHo6Tm8: relaxed, GGA-PBE.

a b c (Å): 6.430 9.315 9.315
angles (deg): 120.00 90.00 90.00
Atoms (fractional coordinates):
Ho  0.589  0.682  0.096
Tm  0.907  0.686  0.661
Tm  0.907  0.975  0.314
Ho  0.411  0.585  0.682
Ho  0.411  0.318  0.904
Tm  0.093  0.314  0.339
Ho  0.411  0.096  0.415
Ce  0.500  0.000  0.000
Tm  0.168  0.667  0.333
Tm  0.093  0.661  0.975
Ho  0.589  0.415  0.318
Tm  0.093  0.025  0.686
Tm  0.907  0.339  0.025
Tm  0.832  0.333  0.667
Ho  0.589  0.904  0.585

Properties
The space group is P-3 (147). Its calculated volume is 483.2 Å³/cell. The value obtained for the formation energy is 255.2 meV per atom.


(2)
CeHo10Tm6: relaxed, GGA-PBE.

a b c (Å): 6.737 9.547 9.547
angles (deg): 120.00 90.00 90.00
Atoms (fractional coordinates):
Ho  0.182  0.000  0.725
Ho  0.182  0.275  0.275
Tm  0.305  0.376  0.000
Ho  0.182  0.725  0.000
Tm  0.695  0.624  0.000
Ce  0.500  0.000  0.000
Ho  0.500  0.333  0.667
Ho  0.818  0.275  0.000
Ho  0.500  0.667  0.333
Ho  0.000  0.667  0.333
Tm  0.695  0.376  0.376
Tm  0.305  0.624  0.624
Tm  0.305  0.000  0.376
Ho  0.000  0.333  0.667
Tm  0.695  0.000  0.624
Ho  0.818  0.725  0.725
Ho  0.818  0.000  0.275

Properties
The space group is P-31m (162). Its calculated volume is 531.7 Å³/cell. The value obtained for the formation energy is 151.6 meV per atom.


(3)
CeHo2Tm: relaxed, GGA-PBE.

a b c (Å): 3.504 3.504 11.612
angles (deg): 90.00 98.68 119.99
Atoms (fractional coordinates):
Tm  0.999  0.000  0.999
Ho  0.832  0.416  0.248
Ce  0.668  0.834  0.502
Ho  0.168  0.584  0.752

Properties
The space group is R3m (160). Its calculated volume is 121.6 Å³/cell. The value obtained for the formation energy is 54.9 meV per atom.


(4)
CeHo5Tm3: relaxed, GGA-PBE.

a b c (Å): 8.433 8.433 9.821
angles (deg): 115.43 115.43 90.00
Atoms (fractional coordinates):
Tm  0.750  0.750  0.500
Ho  0.500  0.500  0.000
Tm  0.623  0.123  0.000
Ho  0.000  0.000  0.000
Ho  0.166  0.056  0.722
Tm  0.123  0.377  0.000
Ce  0.750  0.250  0.500
Ho  0.666  0.166  0.722
Tm  0.250  0.250  0.500
Ho  0.444  0.334  0.278
Ho  0.056  0.556  0.722
Ho  0.334  0.834  0.278
Ce  0.250  0.750  0.500
Tm  0.377  0.877  0.000
Tm  0.877  0.623  0.000
Ho  0.834  0.944  0.278
Ho  0.944  0.444  0.278
Ho  0.556  0.666  0.722

Properties
The space group is I4/mcm (140). Its calculated volume is 555.0 Å³/cell. The value obtained for the formation energy is 299.4 meV per atom.


(5)
CeHo2Tm5: relaxed, GGA-PBE.

a b c (Å): 4.950 7.000 14.008
angles (deg): 90.00 90.00 90.00
Atoms (fractional coordinates):
Tm  0.500  0.746  0.124
Tm  0.000  0.499  0.250
Ho  0.500  0.747  0.876
Tm  0.000  0.001  0.750
Ce  0.000  0.000  0.500
Tm  0.500  0.246  0.376
Tm  0.000  0.501  0.750
Tm  0.000  0.500  0.500
Tm  0.500  0.254  0.876
Tm  0.500  0.754  0.624
Ho  0.500  0.253  0.124
Ce  0.000  0.500  0.000
Tm  0.000  0.999  0.250
Ho  0.500  0.247  0.624
Ho  0.500  0.753  0.376
Tm  0.000  0.000  0.000

Properties
The space group is Pbam (55). Its calculated volume is 485.3 Å³/cell. The value obtained for the formation energy is 42.2 meV per atom.


(6)
Ce2Ho5Tm2: relaxed, GGA-PBE.

a b c (Å): 5.540 8.682 8.816
angles (deg): 44.12 71.69 71.39
Atoms (fractional coordinates):
Ce  0.923  0.667  0.488
Ho  0.678  0.995  0.648
Ce  0.077  0.333  0.512
Ho  0.793  0.358  0.056
Ho  0.000  0.000  0.000
Tm  0.562  0.654  0.222
Ho  0.207  0.642  0.944
Tm  0.438  0.346  0.778
Ho  0.322  0.005  0.352

Properties
The space group is C2/m (12). Its calculated volume is 277.4 Å³/cell. The value obtained for the formation energy is 114.8 meV per atom.